1.
A plane-wave DFT calculation with PBE-GGA was carried out for a relaxed structure of SmDy2Er4Sc.

## Properties
Total moment ... 0.00 μB per formula unit
Volume ... 30.3 Å³ per atom
E_tot ... -4.781 eV/atom

Cell: 6.998 9.876 7.005 Å, 90.00 90.12 90.00°
Space group P2/m (No. 10)
Asymmetric unit:
Sm  0.000  0.000  0.000 x1
Sm  0.000  0.000  0.500 x1
Dy  0.000  0.500  0.000 x1
Dy  0.500  0.000  0.000 x1
Dy  0.500  0.500  0.000 x1
Dy  0.500  0.500  0.500 x1
Er  0.251  0.251  0.253 x4
Er  0.251  0.251  0.748 x4
Sc  0.000  0.500  0.500 x1
Sc  0.500  0.000  0.500 x1



2.
A plane-wave DFT calculation with PBE-GGA was carried out for a relaxed structure of SmDy6Er2Sc3.

## Properties
Total moment ... 0.00 μB per formula unit
Volume ... 29.6 Å³ per atom
E_tot ... -4.994 eV/atom

Cell: 6.038 10.451 11.448 Å, 90.00 100.11 90.00°
Space group C2/m (No. 12)
Asymmetric unit:
Sm  0.000  0.000  0.000 x2
Dy  0.246  0.333  0.741 x8
Dy  0.247  0.000  0.741 x4
Er  0.000  0.333  0.000 x4
Sc  0.000  0.167  0.500 x4
Sc  0.000  0.500  0.500 x2



3.
A plane-wave DFT calculation with PBE-GGA was carried out for a relaxed structure of SmDy2Er2Sc2.

## Properties
Total moment ... 0.00 μB per formula unit
Volume ... 30.3 Å³ per atom
E_tot ... -4.921 eV/atom

Cell: 17.169 3.384 8.164 Å, 90.00 116.61 90.00°
Space group C2/m (No. 12)
Asymmetric unit:
Sm  0.000  0.000  0.000 x2
Dy  0.072  0.500  0.416 x4
Er  0.212  0.000  0.291 x4
Sc  0.152  0.500  0.893 x4



4.
A plane-wave DFT calculation with PBE-GGA was carried out for a relaxed structure of SmDy2Er6Sc.

## Properties
Total moment ... 0.00 μB per formula unit
Volume ... 30.8 Å³ per atom
E_tot ... -4.636 eV/atom

Cell: 8.987 14.748 9.362 Å, 90.00 97.17 90.00°
Space group C2/c (No. 15)
Asymmetric unit:
Sm  0.000  0.023  0.250 x4
Dy  0.247  0.448  0.452 x8
Er  0.061  0.188  0.943 x8
Er  0.100  0.392  0.116 x8
Er  0.214  0.222  0.312 x8
Sc  0.000  0.413  0.750 x4



5.
A plane-wave DFT calculation with PBE-GGA was carried out for a relaxed structure of SmDy5ErSc2.

## Properties
Total moment ... 0.00 μB per formula unit
Volume ... 31.0 Å³ per atom
E_tot ... -4.827 eV/atom

Cell: 5.585 21.417 9.316 Å, 90.00 90.00 90.00°
Space group Cmc2_1 (No. 36)
Asymmetric unit:
Sm  0.000  0.184  0.000 x4
Dy  0.000  0.010  0.995 x4
Dy  0.000  0.265  0.315 x4
Dy  0.000  0.307  0.700 x4
Dy  0.000  0.392  0.029 x4
Dy  0.000  0.468  0.730 x4
Er  0.000  0.402  0.402 x4
Sc  0.000  0.113  0.307 x4
Sc  0.000  0.136  0.683 x4



6.
A plane-wave DFT calculation with PBE-GGA was carried out for a relaxed structure of SmDy2Er2Sc.

## Properties
Total moment ... 0.00 μB per formula unit
Volume ... 31.2 Å³ per atom
E_tot ... -4.616 eV/atom

Cell: 6.544 17.198 3.322 Å, 90.00 90.00 90.00°
Space group Pnnm (No. 58)
Asymmetric unit:
Sm  0.000  0.000  0.000 x2
Dy  0.248  0.149  0.500 x4
Er  0.249  0.322  0.000 x4
Sc  0.000  0.500  0.000 x2



7.
A plane-wave DFT calculation with PBE-GGA was carried out for a relaxed structure of Sm6DyEr2Sc.

## Properties
Total moment ... 0.00 μB per formula unit
Volume ... 32.3 Å³ per atom
E_tot ... -4.709 eV/atom

Cell: 9.182 15.123 9.355 Å, 90.00 96.37 90.00°
Space group C2/c (No. 15)
Asymmetric unit:
Sm  0.056  0.178  0.448 x8
Sm  0.099  0.389  0.613 x8
Sm  0.222  0.218  0.807 x8
Dy  0.000  0.026  0.750 x4
Er  0.245  0.450  0.952 x8
Sc  0.000  0.419  0.250 x4



8.
A plane-wave DFT calculation with PBE-GGA was carried out for a relaxed structure of SmDy2Er6Sc3.

## Properties
Total moment ... 0.00 μB per formula unit
Volume ... 29.4 Å³ per atom
E_tot ... -4.981 eV/atom

Cell: 6.017 10.415 11.426 Å, 90.00 100.10 90.00°
Space group C2/m (No. 12)
Asymmetric unit:
Sm  0.000  0.000  0.000 x2
Dy  0.000  0.333  0.000 x4
Er  0.247  0.000  0.740 x4
Er  0.247  0.333  0.740 x8
Sc  0.000  0.167  0.500 x4
Sc  0.000  0.500  0.500 x2



9.
A plane-wave DFT calculation with PBE-GGA was carried out for a relaxed structure of Sm6DyEr2Sc3.

## Properties
Total moment ... 0.00 μB per formula unit
Volume ... 30.4 Å³ per atom
E_tot ... -5.043 eV/atom

Cell: 6.110 10.578 11.466 Å, 90.00 100.21 90.00°
Space group C2/m (No. 12)
Asymmetric unit:
Sm  0.247  0.000  0.242 x4
Sm  0.247  0.333  0.242 x8
Dy  0.000  0.000  0.500 x2
Er  0.000  0.333  0.500 x4
Sc  0.000  0.167  0.000 x4
Sc  0.000  0.500  0.000 x2



10.
A plane-wave DFT calculation with PBE-GGA was carried out for a relaxed structure of SmDyEr2Sc4.

## Properties
Total moment ... 0.00 μB per formula unit
Volume ... 27.8 Å³ per atom
E_tot ... -5.419 eV/atom

Cell: 4.893 4.893 9.296 Å, 90.00 90.00 90.00°
Space group P4/mmm (No. 123)
Asymmetric unit:
Sm  0.000  0.000  0.000 x1
Dy  0.500  0.500  0.500 x1
Er  0.000  0.000  0.500 x1
Er  0.500  0.500  0.000 x1
Sc  0.000  0.500  0.251 x4



11.
A plane-wave DFT calculation with PBE-GGA was carried out for a relaxed structure of Sm2DyEr2Sc.

## Properties
Total moment ... 0.00 μB per formula unit
Volume ... 31.1 Å³ per atom
E_tot ... -4.885 eV/atom

Cell: 5.585 10.760 6.208 Å, 90.00 90.00 90.00°
Space group Pmc2_1 (No. 26)
Asymmetric unit:
Sm  0.000  0.083  0.000 x2
Sm  0.500  0.258  0.167 x2
Dy  0.000  0.256  0.505 x2
Er  0.000  0.422  0.992 x2
Er  0.500  0.088  0.666 x2
Sc  0.500  0.420  0.665 x2



12.
A plane-wave DFT calculation with PBE-GGA was carried out for a relaxed structure of Sm6DyEr3Sc2.

## Properties
Total moment ... 0.00 μB per formula unit
Volume ... 30.9 Å³ per atom
E_tot ... -4.904 eV/atom

Cell: 6.136 10.622 11.576 Å, 90.00 100.14 90.00°
Space group C2/m (No. 12)
Asymmetric unit:
Sm  0.246  0.000  0.246 x4
Sm  0.249  0.168  0.754 x8
Dy  0.000  0.500  0.000 x2
Er  0.000  0.000  0.500 x2
Er  0.000  0.333  0.500 x4
Sc  0.000  0.167  0.000 x4